# 1
Here is a geometry-optimized NaCa3Cd structure from Alexandria. Energies are from GGA-PBE.

Cell lengths 5.9674, 5.9674, 5.9674 Å; angles 90.00, 90.00, 90.00 degrees
Fractional positions:
Na 0.0000 0.0000 0.0000
Ca 0.0000 0.5000 0.0000
Ca 0.0000 0.0000 0.5000
Ca 0.5000 0.0000 0.0000
Cd 0.5000 0.5000 0.5000

Results
The total energy comes out at -1.20 eV/atom. The calculation puts the density of states at the Fermi level at 5.5 states/eV/cell. The formation energy is 0.448 eV per atom. As for the symmetry: Pm-3m, No. 221.

***

# 2
Here is a geometry-optimized AuBrO structure from Alexandria. Energies are from GGA-PBE.

Cell lengths 3.8282, 4.3573, 5.2960 Å; angles 68.19, 88.44, 73.92 degrees
Fractional positions:
Au 0.8278 0.2693 0.2305
Br 0.8884 0.4554 0.7488
O 0.7854 0.1211 0.6436

Results
The total energy comes out at -3.02 eV/atom. As for the symmetry: P1, No. 1. The value obtained for the uncorrected formation energy is 0.86 eV per formula unit.

***

# 3
Here is a geometry-optimized MgPbCl structure from Alexandria. Energies are from GGA-PBE.

Cell lengths 5.0349, 5.0349, 3.4384 Å; angles 90.00, 90.00, 120.00 degrees
Fractional positions:
Cl 0.0000 0.0000 0.1659
Mg 0.3333 0.6667 0.1679
Pb 0.6667 0.3333 0.6663

Results
The total energy comes out at -2.74 eV/atom. The calculation puts the density of states at the Fermi level at 1.7 states/eV/cell. As for the symmetry: P3m1, No. 156. The value obtained for the uncorrected formation energy is -1.08 eV per formula unit.

***

# 4
Here is a geometry-optimized BaFeRu structure from Alexandria. Energies are from GGA-PBE.

Cell lengths 10.6511, 4.6673, 4.0036 Å; angles 115.43, 79.85, 81.43 degrees
Site moments in Bohr magnetons follow the coordinates.
Fractional positions:
Ru 0.1052 0.6340 0.2244  -0.22
Ru 0.0609 0.2706 0.5628  -0.22
Ba 0.7855 0.6022 0.3582  -0.03
Ba 0.3807 0.3017 0.4282  -0.03
Fe 0.9869 0.8871 0.9065  2.24
Fe 0.1792 0.0174 0.8807  2.24

Results
The total energy comes out at -6.21 eV/atom. The calculation puts the density of states at the Fermi level at 5.9 states/eV/cell. The formation energy is 0.341 eV per atom. As for the symmetry: P-1, No. 2.

***

# 5
Here is a geometry-optimized Mg8BPt4 structure from Alexandria. Energies are from GGA-PBE.

Cell lengths 8.7141, 8.7141, 8.7141 Å; angles 60.00, 60.00, 60.00 degrees
Fractional positions:
Mg 0.4502 0.0498 0.0498
Mg 0.4502 0.4502 0.0498
Mg 0.2002 0.7998 0.7998
Mg 0.6250 0.1250 0.6250
Mg 0.2002 0.7998 0.2002
Mg 0.7998 0.7998 0.2002
Mg 0.7998 0.2002 0.2002
Mg 0.0498 0.4502 0.0498
Mg 0.6250 0.6250 0.1250
Mg 0.4502 0.0498 0.4502
Mg 0.0498 0.0498 0.4502
Mg 0.7998 0.2002 0.7998
Mg 0.6250 0.6250 0.6250
Mg 0.2002 0.2002 0.7998
Mg 0.1250 0.6250 0.6250
Mg 0.0498 0.4502 0.4502
B 0.7500 0.7500 0.7500
B 0.5000 0.5000 0.5000
Pt 0.4007 0.7979 0.4007
Pt 0.4007 0.4007 0.4007
Pt 0.7979 0.4007 0.4007
Pt 0.4521 0.8493 0.8493
Pt 0.8493 0.4521 0.8493
Pt 0.8493 0.8493 0.4521
Pt 0.8493 0.8493 0.8493
Pt 0.4007 0.4007 0.7979

Results
The total energy comes out at -4.03 eV/atom. The calculation puts the density of states at the Fermi level at 6.2 states/eV/cell. The formation energy is -0.677 eV per atom. As for the symmetry: Fd-3m, No. 227.

***

# 6
Here is a geometry-optimized Ti2GeN2 structure from Alexandria. Energies are from GGA-PBE.

Cell lengths 6.3807, 6.3807, 2.8067 Å; angles 90.00, 90.00, 90.00 degrees
Fractional positions:
Ge 0.0000 0.0000 0.0000
Ge 0.5000 0.5000 0.0000
N 0.1386 0.6386 0.5000
N 0.6386 0.8614 0.5000
N 0.8614 0.3614 0.5000
N 0.3614 0.1386 0.5000
Ti 0.3536 0.8536 0.0000
Ti 0.8536 0.6464 0.0000
Ti 0.6464 0.1464 0.0000
Ti 0.1464 0.3536 0.0000

Results
The total energy comes out at -7.60 eV/atom. The calculation puts the density of states at the Fermi level at 8.7 states/eV/cell. As for the symmetry: P4/mbm, No. 127. The value obtained for the uncorrected formation energy is -0.95 eV per formula unit.

***

# 7
Here is a geometry-optimized Na2Np3TlTe6 structure from Alexandria. Energies are from GGA-PBE.

Cell lengths 4.4839, 9.3474, 10.3825 Å; angles 106.23, 102.47, 90.00 degrees
Site moments in Bohr magnetons follow the coordinates.
Fractional positions:
Na 0.8327 0.6684 0.6654  0.00
Na 0.1673 0.3316 0.3346  0.00
Np 0.5000 0.5000 0.0000  4.00
Np 0.8334 0.1709 0.6667  4.02
Np 0.1666 0.8291 0.3333  4.02
Tl 0.5000 0.0000 0.0000  -0.01
Te 0.3269 0.9310 0.6537  -0.08
Te 0.6622 0.5906 0.3244  -0.08
Te 0.6731 0.0690 0.3463  -0.08
Te 0.9941 0.2678 0.9882  -0.09
Te 0.0059 0.7322 0.0118  -0.09
Te 0.3378 0.4094 0.6756  -0.08

Results
The total energy comes out at -5.94 eV/atom. The calculation puts the density of states at the Fermi level at 30.9 states/eV/cell. As for the symmetry: C2/m, No. 12. The value obtained for the uncorrected formation energy is -8.65 eV per formula unit.

***

# 8
Here is a geometry-optimized TcOs2Cl structure from Alexandria. Energies are from GGA-PBE.

Cell lengths 2.7823, 3.5589, 6.7433 Å; angles 90.00, 90.00, 90.00 degrees
Fractional positions:
Cl 0.5000 0.5000 0.7251
Os 0.0000 0.0000 0.0618
Os 0.5000 0.5000 0.2506
Tc 0.0000 0.0000 0.4626

Results
The total energy comes out at -7.89 eV/atom. The calculation puts the density of states at the Fermi level at 4.9 states/eV/cell. As for the symmetry: Pmm2, No. 25. The value obtained for the uncorrected formation energy is 3.09 eV per formula unit.

***

# 9
Here is a geometry-optimized CdBSeBr2 structure from Alexandria. Energies are from GGA-PBE.

Cell lengths 5.4703, 5.4703, 5.3244 Å; angles 90.00, 90.00, 90.00 degrees
Site moments in Bohr magnetons follow the coordinates.
Fractional positions:
B 0.5000 0.5000 0.5000  -0.05
Se 0.0000 0.0000 0.5000  0.49
Br 0.0000 0.5000 0.0000  0.08
Br 0.5000 0.0000 0.0000  0.08
Cd 0.0000 0.0000 0.0000  0.00

Results
The total energy comes out at -1.97 eV/atom. The calculation puts the density of states at the Fermi level at 4.5 states/eV/cell. As for the symmetry: P4/mmm, No. 123. The value obtained for the uncorrected formation energy is 4.56 eV per formula unit.

***

# 10
Here is a geometry-optimized Ba2Hg5Au4 structure from Alexandria. Energies are from GGA-PBE.

Cell lengths 6.3738, 6.0521, 9.7180 Å; angles 80.06, 70.86, 58.23 degrees
Fractional positions:
Ba 0.8612 0.0000 0.2776
Ba 0.1388 0.0000 0.7224
Hg 0.5000 0.0000 0.0000
Hg 0.0000 0.5000 0.0000
Hg 0.5000 0.5000 0.0000
Hg 0.2500 0.5000 0.5000
Hg 0.7500 0.5000 0.5000
Au 0.4900 0.2878 0.7321
Au 0.5100 0.7122 0.2679
Au 0.2221 0.2878 0.2679
Au 0.7779 0.7122 0.7321

Results
The total energy comes out at -2.04 eV/atom. The calculation puts the density of states at the Fermi level at 3.9 states/eV/cell. The formation energy is -0.365 eV per atom. As for the symmetry: Fmmm, No. 69.

***

# 11
Here is a geometry-optimized NaMnAs2Br structure from Alexandria. Energies are from GGA-PBE.

Cell lengths 4.5453, 4.5453, 6.6594 Å; angles 90.00, 90.00, 90.00 degrees
Site moments in Bohr magnetons follow the coordinates.
Fractional positions:
Na 0.5000 0.5000 0.5000  0.00
As 0.0000 0.5000 0.0000  -0.11
As 0.5000 0.0000 0.0000  -0.11
Mn 0.0000 0.0000 0.0000  2.74
Br 0.0000 0.0000 0.5000  0.04

Results
The total energy comes out at -4.49 eV/atom. The calculation puts the density of states at the Fermi level at 1.3 states/eV/cell. As for the symmetry: P4/mmm, No. 123. The value obtained for the uncorrected formation energy is -0.99 eV per formula unit.

***

# 12
Here is a geometry-optimized BaTaAl structure from Alexandria. Energies are from GGA-PBE.

Cell lengths 3.1999, 3.1999, 8.2885 Å; angles 90.00, 90.00, 120.00 degrees
Fractional positions:
Al 0.0000 0.0000 0.9639
Ba 0.3333 0.6667 0.3326
Ta 0.6667 0.3333 0.7035

Results
The total energy comes out at -5.12 eV/atom. The calculation puts the density of states at the Fermi level at 3.8 states/eV/cell. The formation energy is 0.724 eV per atom. As for the symmetry: P3m1, No. 156.